Record 1
Compound: Zn2SiSb
Source: the Alexandria database
Functional: PBE
Structure: optimized geometry

```
data_Zn2SiSb
_chemical_formula_sum 'Zn2 Si1 Sb1'
_cell_length_a 4.4551
_cell_length_b 4.4551
_cell_length_c 4.4817
_cell_angle_alpha 75.58
_cell_angle_beta 75.58
_cell_angle_gamma 100.75
_space_group_name_H-M_alt 'P 1'
_space_group_IT_number 1
loop_
_space_group_symop_operation_xyz
'x,y,z'
loop_
_atom_site_label
_atom_site_fract_x
_atom_site_fract_y
_atom_site_fract_z
Sb1 0.5000 0.0000 0.5000
Si1 0.0000 0.5000 0.5000
Zn1 0.0000 0.0000 0.0000
Zn2 0.5000 0.5000 0.0000
```

Values from the calculation:
distance to the lowest polymorph of the same formula: 135.0 meV per atom
formation energy without anion corrections: 308 meV/atom

=====

Record 2
Compound: ZnSi2Sb
Source: the Alexandria database
Functional: PBE
Structure: optimized geometry

```
data_ZnSi2Sb
_chemical_formula_sum 'Zn1 Si2 Sb1'
_cell_length_a 3.4796
_cell_length_b 3.4796
_cell_length_c 7.0411
_cell_angle_alpha 90.00
_cell_angle_beta 90.00
_cell_angle_gamma 90.00
_space_group_name_H-M_alt 'P 1'
_space_group_IT_number 1
loop_
_space_group_symop_operation_xyz
'x,y,z'
loop_
_atom_site_label
_atom_site_fract_x
_atom_site_fract_y
_atom_site_fract_z
Sb1 0.5000 0.5000 0.7191
Si1 0.0000 0.0000 0.1735
Si2 0.5000 0.5000 0.0937
Zn1 0.0000 0.0000 0.5137
```

Values from the calculation:
distance to the lowest polymorph of the same formula: 7.2 meV per atom
formation energy without anion corrections: 263 meV/atom